[1]
CsYCl2F | GGA-PBE | optimized geometry

```
CsYCl2F
1.0
5.538 0.000 0.000
0.000 5.538 0.000
0.000 0.000 4.498
Cl Y F Cs
2 1 1 1
direct
0.000 0.500 0.000
0.500 0.000 0.000
0.000 0.000 0.000
0.000 0.000 0.500
0.500 0.500 0.500
```

spin magnetization: 0.00 μB/cell
E_form (uncorrected): -2.31 eV/atom
calculated density: 3.752 g/cm³
total DFT energy (no corrections): -24.4 eV for the cell shown

[2]
Cs2YClF6 | GGA-PBE | optimized geometry

```
Cs2YClF6
1.0
-6.136 -1.635 1.195
1.778 -2.527 5.675
-2.988 2.693 5.814
F Y Cs Cl
6 1 2 1
direct
0.760 0.760 0.000
0.240 0.760 0.000
0.760 0.240 0.000
0.799 0.799 0.402
0.201 0.201 0.598
0.240 0.240 0.000
0.000 0.000 0.000
0.750 0.250 0.500
0.250 0.750 0.500
0.500 0.500 0.000
```

spin magnetization: 2.00 μB/cell
E_form (uncorrected): -2.67 eV/atom
calculated density: 3.717 g/cm³
total DFT energy (no corrections): -48.0 eV for the cell shown

[3]
Cs2ZnClF6 | GGA-PBE | optimized geometry

```
Cs2ZnClF6
1.0
6.038 0.000 0.000
0.000 6.038 0.000
3.019 3.019 5.187
F Cs Zn Cl
6 2 1 1
direct
0.816 0.816 0.367
0.751 0.249 0.000
0.751 0.751 0.000
0.249 0.249 0.000
0.184 0.184 0.633
0.249 0.751 0.000
0.250 0.750 0.500
0.750 0.250 0.500
0.000 0.000 0.000
0.500 0.500 0.000
```

spin magnetization: 1.00 μB/cell
E_form (uncorrected): -1.88 eV/atom
calculated density: 4.221 g/cm³
total DFT energy (no corrections): -34.9 eV for the cell shown

[4]
CsZnClF2 | GGA-PBE | optimized geometry

```
CsZnClF2
1.0
3.974 0.000 0.000
-1.987 7.076 0.000
0.000 0.000 7.875
F Zn Cl Cs
4 2 2 2
direct
0.130 0.260 0.532
0.870 0.740 0.468
0.870 0.740 0.032
0.130 0.260 0.968
0.000 0.000 0.000
0.000 0.000 0.500
0.523 0.045 0.250
0.477 0.955 0.750
0.269 0.537 0.250
0.731 0.463 0.750
```

spin magnetization: 0.00 μB/cell
E_form (uncorrected): -2.10 eV/atom
ΔE to the lowest computed polymorph: 0.0 meV/atom
calculated density: 4.077 g/cm³
total DFT energy (no corrections): -36.5 eV for the cell shown

[5]
CsZnCl2F | GGA-PBE | optimized geometry

```
CsZnCl2F
1.0
-1.773 2.395 -4.261
2.825 -3.197 -2.972
-3.243 -2.706 -0.172
F Zn Cl Cs
1 1 2 1
direct
0.000 0.000 0.500
0.000 0.000 0.000
0.000 0.500 0.000
0.500 0.000 0.000
0.500 0.500 0.500
```

spin magnetization: 0.00 μB/cell
E_form (uncorrected): -1.72 eV/atom
calculated density: 4.188 g/cm³
total DFT energy (no corrections): -16.3 eV for the cell shown

[6]
CsZnClF2 | GGA-PBE | optimized geometry

```
CsZnClF2
1.0
-1.450 -1.111 4.127
4.273 -0.446 1.381
0.072 4.605 1.265
F Cl Zn Cs
2 1 1 1
direct
0.500 0.000 0.000
0.000 0.500 0.000
0.000 0.000 0.500
0.000 0.000 0.000
0.500 0.500 0.500
```

spin magnetization: 0.00 μB/cell
E_form (uncorrected): -2.02 eV/atom
ΔE to the lowest computed polymorph: 80.7 meV/atom
calculated density: 4.639 g/cm³
total DFT energy (no corrections): -17.8 eV for the cell shown

Question: What is the formula in the fifth record?
Answer: CsZnCl2F